Arrangement a

Here is crystalline Sr3Sc at its relaxed geometry from Alexandria via LeMat-Bulk. Energies are from GGA-PBE.

Values from the calculation:
* density: 2.88 Mg/m³

a = 7.905 Å, b = 6.918 Å, c = 13.001 Å
α = 90.00°, β = 90.00°, γ = 90.00°
Each line ends with the local moment (μB).
Atoms (fractional coordinates):
Sc: 0.646 0.931 0.750  0.56
Sc: 0.146 0.569 0.250  0.56
Sc: 0.854 0.431 0.750  0.56
Sc: 0.354 0.069 0.250  0.56
Sr: 0.120 0.957 0.750  0.02
Sr: 0.620 0.543 0.250  0.02
Sr: 0.380 0.457 0.750  0.02
Sr: 0.880 0.043 0.250  0.02
Sr: 0.626 0.235 0.984  0.04
Sr: 0.126 0.265 0.016  0.04
Sr: 0.874 0.735 0.516  0.04
Sr: 0.374 0.765 0.484  0.04
Sr: 0.374 0.765 0.016  0.04
Sr: 0.874 0.735 0.984  0.04
Sr: 0.126 0.265 0.484  0.04
Sr: 0.626 0.235 0.516  0.04

---

Arrangement b

Here is crystalline Sr3Sc at its relaxed geometry from Alexandria via LeMat-Bulk. Energies are from GGA-PBE.

Values from the calculation:
* density: 2.87 Mg/m³

a = 5.625 Å, b = 5.625 Å, c = 5.625 Å
α = 90.00°, β = 90.00°, γ = 90.00°
Each line ends with the local moment (μB).
Atoms (fractional coordinates):
Sc: 0.000 0.000 0.000  0.44
Sr: 0.000 0.500 0.500  0.03
Sr: 0.500 0.000 0.500  0.03
Sr: 0.500 0.500 0.000  0.03

---

Arrangement c

Here is crystalline Sr3Sc at its relaxed geometry from Alexandria via LeMat-Bulk. Energies are from GGA-PBE.

Values from the calculation:
* density: 2.88 Mg/m³

a = 13.168 Å, b = 13.168 Å, c = 13.168 Å
α = 17.38°, β = 17.38°, γ = 17.38°
Each line ends with the local moment (μB).
Atoms (fractional coordinates):
Sc: 0.000 0.000 0.000  0.51
Sr: 0.740 0.740 0.740  0.05
Sr: 0.500 0.500 0.500  0.01
Sr: 0.260 0.260 0.260  0.05

---

Energies relative to the most stable structure, in eV/atom: arrangement a 0.011; arrangement b 0.042; arrangement c 0.000.

---

Arrangement a

Here is crystalline Sr3Sc at its relaxed geometry from Alexandria via LeMat-Bulk. Energies are from GGA-PBE.

Values from the calculation:
* density: 2.96 Mg/m³

a = 6.093 Å, b = 3.852 Å, c = 7.538 Å
α = 77.74°, β = 90.00°, γ = 90.00°
Atoms (fractional coordinates):
Sc: 0.000 0.000 0.000
Sr: 0.500 0.773 0.767
Sr: 0.000 0.500 0.500
Sr: 0.500 0.227 0.233

---

Arrangement b

Here is crystalline Sr3Sc at its relaxed geometry from Alexandria via LeMat-Bulk. Energies are from GGA-PBE.

Values from the calculation:
* density: 2.96 Mg/m³

a = 6.209 Å, b = 6.209 Å, c = 4.479 Å
α = 90.00°, β = 90.00°, γ = 90.00°
Each line ends with the local moment (μB).
Atoms (fractional coordinates):
Sc: 0.000 0.000 0.000  0.11
Sr: 0.500 0.000 0.500  0.00
Sr: 0.500 0.500 0.000  0.00
Sr: 0.000 0.500 0.500  0.00

---

Arrangement c

Here is crystalline Sr3Sc at its relaxed geometry from Alexandria via LeMat-Bulk. Energies are from GGA-PBE.

Values from the calculation:
* density: 2.97 Mg/m³

a = 7.318 Å, b = 7.318 Å, c = 7.318 Å
α = 117.02°, β = 117.02°, γ = 117.02°
Each line ends with the local moment (μB).
Atoms (fractional coordinates):
Sc: 0.000 0.000 0.000  0.15
Sr: 0.500 0.500 0.000  0.00
Sr: 0.000 0.500 0.500  0.00
Sr: 0.500 0.000 0.500  0.00

---

Energies relative to the most stable structure, in eV/atom: arrangement a 0.000; arrangement b 0.012; arrangement c 0.018.

---

Arrangement a

Here is crystalline Sr3Sc at its relaxed geometry from Alexandria via LeMat-Bulk. Energies are from GGA-PBE.

Values from the calculation:
* density: 2.97 Mg/m³

a = 6.243 Å, b = 6.243 Å, c = 6.243 Å
α = 60.00°, β = 60.00°, γ = 60.00°
Atoms (fractional coordinates):
Sc: 0.000 0.000 0.000
Sr: 0.250 0.250 0.250
Sr: 0.500 0.500 0.500
Sr: 0.750 0.750 0.750

---

Arrangement b

Here is crystalline Sr3Sc at its relaxed geometry from Alexandria via LeMat-Bulk. Energies are from GGA-PBE.

Values from the calculation:
* density: 2.87 Mg/m³

a = 3.984 Å, b = 3.984 Å, c = 12.943 Å
α = 90.00°, β = 90.00°, γ = 120.00°
Each line ends with the local moment (μB).
Atoms (fractional coordinates):
Sc: 0.000 0.000 0.000  0.59
Sr: 0.000 0.000 0.500  0.01
Sr: 0.667 0.333 0.224  0.06
Sr: 0.667 0.333 0.776  0.06

---

Energies relative to the most stable structure, in eV/atom: arrangement a 0.031; arrangement b 0.000.

---

Arrangement a

Here is crystalline SrSc2 at its relaxed geometry from Alexandria via LeMat-Bulk. Energies are from GGA-PBE.

Values from the calculation:
* density: 3.14 Mg/m³

a = 6.827 Å, b = 6.827 Å, c = 8.289 Å
α = 75.54°, β = 75.54°, γ = 30.16°
Each line ends with the local moment (μB).
Atoms (fractional coordinates):
Sr: 0.949 0.949 0.589  0.05
Sr: 0.278 0.278 0.946  0.04
Sc: 0.007 0.007 0.035  0.26
Sc: 0.318 0.318 0.331  0.19
Sc: 0.663 0.663 0.653  0.42
Sc: 0.618 0.618 0.279  0.24

---

Arrangement b

Here is crystalline SrSc2 at its relaxed geometry from Alexandria via LeMat-Bulk. Energies are from GGA-PBE.

Values from the calculation:
* density: 3.08 Mg/m³

a = 7.691 Å, b = 7.691 Å, c = 7.691 Å
α = 152.66°, β = 152.66°, γ = 39.04°
Each line ends with the local moment (μB).
Atoms (fractional coordinates):
Sc: 0.312 0.312 0.000  0.16
Sc: 0.688 0.688 0.000  0.16
Sr: 0.000 0.000 0.000  -0.01

---

Arrangement c

Here is crystalline SrSc2 at its relaxed geometry from Alexandria via LeMat-Bulk. Energies are from GGA-PBE.

Values from the calculation:
* density: 3.18 Mg/m³

a = 5.643 Å, b = 5.643 Å, c = 3.361 Å
α = 90.00°, β = 90.00°, γ = 120.00°
Each line ends with the local moment (μB).
Atoms (fractional coordinates):
Sc: 0.667 0.333 0.318  0.24
Sc: 0.333 0.667 0.682  0.24
Sr: 0.000 0.000 0.000  0.02

---

Arrangement d

Here is crystalline SrSc2 at its relaxed geometry from Alexandria via LeMat-Bulk. Energies are from GGA-PBE.

Values from the calculation:
* density: 3.12 Mg/m³

a = 7.230 Å, b = 7.230 Å, c = 7.230 Å
α = 90.00°, β = 90.00°, γ = 90.00°
Atoms (fractional coordinates):
Sc: 0.631 0.631 0.369
Sc: 0.369 0.369 0.631
Sc: 0.131 0.869 0.631
Sc: 0.869 0.131 0.369
Sc: 0.369 0.131 0.131
Sc: 0.631 0.869 0.869
Sc: 0.869 0.369 0.869
Sc: 0.131 0.631 0.131
Sr: 0.000 0.000 0.000
Sr: 0.500 0.500 0.000
Sr: 0.500 0.000 0.500
Sr: 0.000 0.500 0.500

---

Energies relative to the most stable structure, in eV/atom: arrangement a 0.076; arrangement b 0.000; arrangement c 0.138; arrangement d 0.936.

---

Arrangement a

Here is crystalline SrSc2 at its relaxed geometry from Alexandria via LeMat-Bulk. Energies are from GGA-PBE.

Values from the calculation:
* density: 3.06 Mg/m³

a = 6.628 Å, b = 6.628 Å, c = 8.810 Å
α = 71.18°, β = 71.18°, γ = 31.94°
Each line ends with the local moment (μB).
Atoms (fractional coordinates):
Sr: 0.660 0.660 0.379  0.03
Sr: 0.340 0.340 0.621  0.03
Sc: 0.031 0.031 0.790  0.21
Sc: 0.350 0.350 0.026  0.17
Sc: 0.650 0.650 0.974  0.17
Sc: 0.969 0.969 0.210  0.21

---

Arrangement b

Here is crystalline SrSc2 at its relaxed geometry from Alexandria via LeMat-Bulk. Energies are from GGA-PBE.

Values from the calculation:
* density: 2.72 Mg/m³

a = 4.105 Å, b = 4.105 Å, c = 6.429 Å
α = 90.00°, β = 90.00°, γ = 90.00°
Atoms (fractional coordinates):
Sc: 0.000 0.500 0.500
Sc: 0.500 0.000 0.500
Sr: 0.000 0.000 0.000

---

Energies relative to the most stable structure, in eV/atom: arrangement a 0.000; arrangement b 0.319.

---

Arrangement a

Here is crystalline SrSc2 at its relaxed geometry from Alexandria via LeMat-Bulk. Energies are from GGA-PBE.

Values from the calculation:
* density: 3.16 Mg/m³

a = 3.538 Å, b = 3.538 Å, c = 8.595 Å
α = 90.00°, β = 90.00°, γ = 120.00°
Atoms (fractional coordinates):
Sc: 0.333 0.667 0.639
Sc: 0.667 0.333 0.361
Sr: 0.000 0.000 0.000

---

Arrangement b

Here is crystalline SrSc2 at its relaxed geometry from Alexandria via LeMat-Bulk. Energies are from GGA-PBE.

Values from the calculation:
* density: 2.90 Mg/m³

a = 6.603 Å, b = 6.603 Å, c = 6.603 Å
α = 60.00°, β = 60.00°, γ = 60.00°
Each line ends with the local moment (μB).
Atoms (fractional coordinates):
Sc: 0.125 0.625 0.625  0.46
Sc: 0.625 0.125 0.625  0.46
Sc: 0.625 0.625 0.625  0.46
Sc: 0.625 0.625 0.125  0.46
Sr: 0.000 0.000 0.000  0.06
Sr: 0.250 0.250 0.250  0.06

---

Energies relative to the most stable structure, in eV/atom: arrangement a 0.000; arrangement b 0.009.

---

Arrangement a

Here is crystalline SrSc5 at its relaxed geometry from Alexandria via LeMat-Bulk. Energies are from GGA-PBE.

Values from the calculation:
* density: 2.96 Mg/m³

a = 6.281 Å, b = 6.281 Å, c = 6.281 Å
α = 60.00°, β = 60.00°, γ = 60.00°
Atoms (fractional coordinates):
Sr: 0.000 0.000 0.000
Sc: 0.250 0.250 0.250
Sc: 0.621 0.621 0.621
Sc: 0.621 0.621 0.137
Sc: 0.137 0.621 0.621
Sc: 0.621 0.137 0.621

---

Arrangement b

Here is crystalline SrSc5 at its relaxed geometry from Alexandria via LeMat-Bulk. Energies are from GGA-PBE.

Values from the calculation:
* density: 3.13 Mg/m³

a = 6.447 Å, b = 6.447 Å, c = 8.045 Å
α = 76.24°, β = 76.24°, γ = 30.72°
Each line ends with the local moment (μB).
Atoms (fractional coordinates):
Sr: 0.282 0.282 0.938  0.03
Sc: 0.007 0.007 0.017  0.25
Sc: 0.335 0.335 0.346  0.08
Sc: 0.653 0.653 0.650  0.14
Sc: 0.605 0.605 0.291  0.20
Sc: 0.951 0.951 0.591  0.01

---

Energies relative to the most stable structure, in eV/atom: arrangement a 0.141; arrangement b 0.000.

---

Arrangement a

Here is crystalline SrSc5 at its relaxed geometry from Alexandria via LeMat-Bulk. Energies are from GGA-PBE.

Values from the calculation:
* density: 3.10 Mg/m³

a = 3.446 Å, b = 3.446 Å, c = 14.097 Å
α = 90.00°, β = 90.00°, γ = 90.00°
Each line ends with the local moment (μB).
Atoms (fractional coordinates):
Sr: 0.500 0.500 0.000  0.01
Sc: 0.000 0.000 0.796  0.19
Sc: 0.000 0.000 0.204  0.19
Sc: 0.500 0.500 0.652  0.06
Sc: 0.500 0.500 0.348  0.06
Sc: 0.000 0.000 0.500  -0.16

---

Arrangement b

Here is crystalline SrSc5 at its relaxed geometry from Alexandria via LeMat-Bulk. Energies are from GGA-PBE.

Values from the calculation:
* density: 3.14 Mg/m³

a = 9.329 Å, b = 9.329 Å, c = 5.355 Å
α = 90.00°, β = 90.00°, γ = 159.23°
Atoms (fractional coordinates):
Sr: 0.108 0.892 0.500
Sc: 0.990 0.010 0.000
Sc: 0.336 0.664 0.000
Sc: 0.683 0.317 0.000
Sc: 0.432 0.568 0.500
Sc: 0.784 0.216 0.500

---

Energies relative to the most stable structure, in eV/atom: arrangement a 0.000; arrangement b 0.020.

---

Arrangement a

Here is crystalline Sr4Sc at its relaxed geometry from Alexandria via LeMat-Bulk. Energies are from GGA-PBE.

Values from the calculation:
* density: 2.40 Mg/m³

a = 6.492 Å, b = 6.492 Å, c = 6.492 Å
α = 90.00°, β = 90.00°, γ = 90.00°
Each line ends with the local moment (μB).
Atoms (fractional coordinates):
Sc: 0.500 0.500 0.500  0.97
Sr: 0.000 0.000 0.000  -0.01
Sr: 0.500 0.000 0.500  0.10
Sr: 0.000 0.500 0.500  0.10
Sr: 0.500 0.500 0.000  0.10

---

Arrangement b

Here is crystalline Sr4Sc at its relaxed geometry from Alexandria via LeMat-Bulk. Energies are from GGA-PBE.

Values from the calculation:
* density: 2.84 Mg/m³

a = 6.943 Å, b = 6.943 Å, c = 6.943 Å
α = 100.06°, β = 100.06°, γ = 130.59°
Each line ends with the local moment (μB).
Atoms (fractional coordinates):
Sr: 0.794 0.392 0.186  0.03
Sr: 0.392 0.206 0.599  0.03
Sr: 0.206 0.608 0.814  0.03
Sr: 0.608 0.794 0.401  0.03
Sc: 0.000 0.000 0.000  0.51

---

Energies relative to the most stable structure, in eV/atom: arrangement a 0.245; arrangement b 0.000.

---

Arrangement a

Here is crystalline SrScTa2 at its relaxed geometry from Alexandria via LeMat-Bulk. Energies are from GGA-PBE.

Values from the calculation:
* density: 8.72 Mg/m³

a = 11.064 Å, b = 11.064 Å, c = 11.064 Å
α = 16.40°, β = 16.40°, γ = 16.40°
Atoms (fractional coordinates):
Sc: 0.513 0.513 0.513
Sr: 0.744 0.744 0.744
Ta: 0.990 0.990 0.990
Ta: 0.252 0.252 0.252

---

Arrangement b

Here is crystalline SrScTa2 at its relaxed geometry from Alexandria via LeMat-Bulk. Energies are from GGA-PBE.

Values from the calculation:
* density: 9.05 Mg/m³

a = 4.188 Å, b = 4.188 Å, c = 5.171 Å
α = 90.00°, β = 90.00°, γ = 90.00°
Atoms (fractional coordinates):
Sc: 0.500 0.000 0.500
Sr: 0.000 0.500 0.500
Ta: 0.000 0.000 0.000
Ta: 0.500 0.500 0.000

---

Arrangement c

Here is crystalline SrScTa2 at its relaxed geometry from Alexandria via LeMat-Bulk. Energies are from GGA-PBE.

Values from the calculation:
* density: 8.25 Mg/m³

a = 6.234 Å, b = 6.234 Å, c = 6.234 Å
α = 149.30°, β = 125.69°, γ = 63.69°
Atoms (fractional coordinates):
Sc: 0.529 0.529 0.000
Sr: 0.235 0.735 0.500
Ta: 0.963 0.963 0.000
Ta: 0.773 0.273 0.500

---

Energies relative to the most stable structure, in eV/atom: arrangement a 0.000; arrangement b 0.204; arrangement c 0.079.

---

Arrangement a

Here is crystalline SrScTa2 at its relaxed geometry from Alexandria via LeMat-Bulk. Energies are from GGA-PBE.

Values from the calculation:
* density: 9.09 Mg/m³

a = 5.937 Å, b = 5.937 Å, c = 5.937 Å
α = 138.67°, β = 138.67°, γ = 59.88°
Atoms (fractional coordinates):
Sc: 0.250 0.750 0.500
Sr: 0.750 0.250 0.500
Ta: 0.000 0.000 0.000
Ta: 0.500 0.500 0.000

---

Arrangement b

Here is crystalline SrScTa2 at its relaxed geometry from Alexandria via LeMat-Bulk. Energies are from GGA-PBE.

Values from the calculation:
* density: 9.00 Mg/m³

a = 11.073 Å, b = 11.073 Å, c = 11.073 Å
α = 16.12°, β = 16.12°, γ = 16.12°
Atoms (fractional coordinates):
Sc: 0.250 0.250 0.250
Sr: 0.750 0.750 0.750
Ta: 0.993 0.993 0.993
Ta: 0.507 0.507 0.507

---

Energies relative to the most stable structure, in eV/atom: arrangement a 0.134; arrangement b 0.000.